The following is a DFT calculation (PBE) of crystalline Na2Sr5Ni at its relaxed geometry.

Unit cell a=8.245 b=10.536 c=16.795 alpha=90.00 beta=90.00 gamma=90.00
Element x y z (fractional)
Na 0.750 0.547 0.303
Na 0.250 0.453 0.697
Na 0.250 0.953 0.803
Na 0.750 0.047 0.197
Na 0.750 0.796 0.589
Na 0.250 0.204 0.411
Na 0.250 0.704 0.089
Na 0.750 0.296 0.911
Sr 0.750 0.714 0.112
Sr 0.250 0.286 0.888
Sr 0.250 0.786 0.612
Sr 0.750 0.214 0.388
Sr 0.503 0.643 0.893
Sr 0.497 0.357 0.107
Sr 0.497 0.857 0.393
Sr 0.003 0.357 0.107
Sr 0.503 0.143 0.607
Sr 0.997 0.643 0.893
Sr 0.997 0.143 0.607
Sr 0.003 0.857 0.393
Sr 0.500 0.000 0.000
Sr 0.500 0.500 0.500
Sr 0.000 0.000 0.000
Sr 0.000 0.500 0.500
Sr 0.750 0.947 0.793
Sr 0.250 0.053 0.207
Sr 0.250 0.553 0.293
Sr 0.750 0.447 0.707
Ni 0.750 0.819 0.948
Ni 0.250 0.181 0.052
Ni 0.250 0.681 0.448
Ni 0.750 0.319 0.552

Space-group type: Pnma, No. 62
Formation enthalpy at 0 K (eV/atom): 0.027
D(E_F) (states/eV per atom): 0.763



The following is a DFT calculation (PBE) of crystalline NaSr3Ni at its relaxed geometry.

Unit cell a=7.895 b=7.895 c=9.374 alpha=65.10 beta=65.10 gamma=90.00
Element x y z (fractional)
Sr 0.144 0.885 0.230
Sr 0.115 0.856 0.770
Sr 0.115 0.374 0.770
Sr 0.626 0.885 0.230
Sr 0.357 0.357 0.286
Sr 0.643 0.643 0.714
Na 0.624 0.124 0.752
Na 0.876 0.376 0.248
Ni 0.000 0.000 0.000
Ni 0.250 0.750 0.500

Space-group type: I-4m2, No. 119
Formation enthalpy at 0 K (eV/atom): 0.284
D(E_F) (states/eV per atom): 0.400



The following is a DFT calculation (PBE) of crystalline NaSr6Ni at its relaxed geometry.

Unit cell a=7.314 b=8.125 c=14.459 alpha=100.67 beta=90.00 gamma=116.75
Element x y z (fractional)
Na 0.416 0.000 0.250
Na 0.584 0.000 0.750
Sr 0.992 0.152 0.392
Sr 0.160 0.152 0.892
Sr 0.127 0.432 0.674
Sr 0.304 0.432 0.174
Sr 0.008 0.848 0.608
Sr 0.840 0.848 0.108
Sr 0.568 0.286 0.533
Sr 0.718 0.286 0.033
Sr 0.873 0.568 0.326
Sr 0.696 0.568 0.826
Sr 0.432 0.714 0.467
Sr 0.282 0.714 0.967
Ni 0.000 0.500 0.500
Ni 0.500 0.500 0.000

Space-group type: C2/c, No. 15
Formation enthalpy at 0 K (eV/atom): -0.015
D(E_F) (states/eV per atom): 0.699



The following is a DFT calculation (PBE) of crystalline Na3SrNi at its relaxed geometry.

Unit cell a=5.484 b=5.484 c=5.484 alpha=90.00 beta=90.00 gamma=90.00
Element x y z (fractional)
Sr 0.500 0.500 0.500
Na 0.000 0.500 0.000
Na 0.000 0.000 0.500
Na 0.500 0.000 0.000
Ni 0.000 0.000 0.000

Space-group type: Pm-3m, No. 221
Formation enthalpy at 0 K (eV/atom): 0.376
D(E_F) (states/eV per atom): 0.504



The following is a DFT calculation (PBE) of crystalline NaSr2Ni at its relaxed geometry.

Unit cell a=3.744 b=3.744 c=9.677 alpha=90.00 beta=90.00 gamma=90.00
Element x y z (fractional)
Sr 0.000 0.000 0.818
Sr 0.000 0.000 0.182
Na 0.500 0.500 0.500
Ni 0.500 0.500 0.000

Space-group type: P4/mmm, No. 123
Formation enthalpy at 0 K (eV/atom): 0.071
D(E_F) (states/eV per atom): 0.793



The following is a DFT calculation (PBE) of crystalline NaSrNi2 at its relaxed geometry.

Unit cell a=7.782 b=7.782 c=6.155 alpha=50.79 beta=50.79 gamma=90.00
Element x y z (fractional)
Sr 0.000 0.000 0.000
Sr 0.750 0.250 0.500
Na 0.500 0.500 0.000
Na 0.250 0.750 0.500
Ni 0.610 0.125 0.250
Ni 0.140 0.625 0.250
Ni 0.375 0.390 0.750
Ni 0.875 0.860 0.750

Space-group type: I-42d, No. 122
Formation enthalpy at 0 K (eV/atom): 0.588
D(E_F) (states/eV per atom): 0.783



The following is a DFT calculation (PBE) of crystalline NaSr3Ni at its relaxed geometry.

Unit cell a=26.607 b=7.398 c=10.298 alpha=90.00 beta=157.48 gamma=90.00
Element x y z (fractional)
Sr 0.193 0.064 0.615
Sr 0.807 0.936 0.385
Sr 0.307 0.564 0.885
Sr 0.693 0.436 0.115
Sr 0.317 0.302 0.257
Sr 0.683 0.698 0.743
Sr 0.183 0.802 0.243
Sr 0.817 0.198 0.757
Sr 0.562 0.764 0.097
Sr 0.438 0.236 0.903
Sr 0.938 0.264 0.403
Sr 0.062 0.736 0.597
Na 0.443 0.850 0.486
Na 0.557 0.150 0.514
Na 0.057 0.350 0.014
Na 0.943 0.650 0.986
Ni 0.088 0.375 0.518
Ni 0.912 0.625 0.482
Ni 0.412 0.875 0.982
Ni 0.588 0.125 0.018

Space-group type: P2_1/c, No. 14
Formation enthalpy at 0 K (eV/atom): 0.061
D(E_F) (states/eV per atom): 1.002



The following is a DFT calculation (PBE) of crystalline NaSr2Ni at its relaxed geometry.

Unit cell a=9.050 b=9.050 c=7.355 alpha=52.03 beta=52.03 gamma=90.00
Element x y z (fractional)
Sr 0.709 0.125 0.250
Sr 0.041 0.625 0.250
Sr 0.375 0.291 0.750
Sr 0.875 0.959 0.750
Na 0.500 0.500 0.000
Na 0.250 0.750 0.500
Ni 0.000 0.000 0.000
Ni 0.750 0.250 0.500

Space-group type: I-42d, No. 122
Formation enthalpy at 0 K (eV/atom): 0.260
D(E_F) (states/eV per atom): 0.746



- Which value of D(E_F) does entry 3 give?
  0.699 states/eV per atom



- Which of these has the lowest D(E_F)?
  number 2



- D(E_F) of number 5 (NaSr2Ni)?
  0.793 states/eV per atom